# 1
{
  "formula": "Y3TlHSe",
  "functional": "PBE",
  "state": "optimized geometry",
  "lattice": [[8.403, 0.000, 0.000], [0.000, 4.082, 0.000], [-1.544, 0.000, 8.520]],
  "species": ["Y", "Y", "Y", "Y", "Y", "Y", "Tl", "Tl", "H", "H", "Se", "Se"],
  "fractional_positions": [[0.079, 0.250, 0.314], [0.326, 0.250, 0.970], [0.387, 0.750, 0.629], [0.613, 0.250, 0.371], [0.674, 0.750, 0.030], [0.921, 0.750, 0.686], [0.336, 0.750, 0.252], [0.664, 0.250, 0.748], [0.413, 0.750, 0.900], [0.587, 0.250, 0.100], [0.152, 0.250, 0.653], [0.848, 0.750, 0.347]],
  "final_energy_ev_per_atom": -5.6346,
  "space_group": "P2_1/m"
}

=====

# 2
{
  "formula": "ZrTlHSe2",
  "functional": "PBE",
  "state": "optimized geometry",
  "lattice": [[5.316, 0.000, 0.000], [0.000, 5.316, 0.000], [0.000, 0.000, 4.126]],
  "species": ["Zr", "Tl", "H", "Se", "Se"],
  "fractional_positions": [[0.000, 0.000, 0.000], [0.500, 0.500, 0.500], [0.000, 0.000, 0.500], [0.000, 0.500, 0.000], [0.500, 0.000, 0.000]],
  "final_energy_ev_per_atom": -4.8803,
  "space_group": "P4/mmm"
}

=====

# 3
{
  "formula": "ZrTl2HSe4",
  "functional": "PBE",
  "state": "optimized geometry",
  "lattice": [[7.032, 0.000, 0.000], [0.000, 3.762, 0.000], [-2.901, 0.000, 7.567]],
  "species": ["Zr", "Tl", "Tl", "H", "Se", "Se", "Se", "Se"],
  "fractional_positions": [[0.000, 0.000, 0.000], [0.000, 0.500, 0.500], [0.500, 0.000, 0.500], [0.500, 0.500, 0.000], [0.210, 0.500, 0.220], [0.306, 0.000, 0.853], [0.694, 0.000, 0.147], [0.790, 0.500, 0.780]],
  "final_energy_ev_per_atom": -4.1488,
  "space_group": "P2/m"
}

=====

Quick rundown of DOS at the Fermi energy, same order as above: 0.4955; 0.3140; 0.4059 states/eV per atom